A crystal of BaTcNi2 relaxed with PBEsol, computed with meta-GGA SCAN.

Unit cell a=2.918 b=3.346 c=7.172 alpha=90.00 beta=90.00 gamma=90.00
Atoms (fractional coordinates):
1 Ba 0.000 0.000 0.000
2 Tc 0.000 0.000 0.500
3 Ni 0.500 0.500 0.335
4 Ni 0.500 0.500 0.665

Space group: Pmmm, No. 47
E in eV per atom: -26.216